A relaxed K4Rb2GaGe2 crystal. Source: Alexandria, functional PBE-GGA.

Calculated values
Symmetry   C2/m
N(E_F)   3.8 states/eV per cell
Total moment   0.830 μB/f.u.
Total DFT energy (no corrections)   -18.724 eV/cell
Crystal system   monoclinic

Unit cell a=6.2464 b=8.6040 c=8.6040 alpha=58.18 beta=73.71 gamma=73.71
With the nearest neighbours (Å) after each atom.
Fractional positions:
K1 0.2028 0.6450 0.0884  3 Ge 3.64-3.73, 1 Ga 3.65, 2 K 3.71-4.00, 3 Rb 3.79-4.00
K2 0.7972 0.9116 0.3550  3 Ge 3.64-3.73, 1 Ga 3.65, 2 K 3.71-4.00, 3 Rb 3.79-4.00
K3 0.7972 0.3550 0.9116  3 Ge 3.64-3.73, 1 Ga 3.65, 2 K 3.71-4.00, 3 Rb 3.79-4.00
K4 0.2028 0.0884 0.6450  3 Ge 3.64-3.73, 1 Ga 3.65, 2 K 3.71-4.00, 3 Rb 3.79-4.00
Rb1 0.2721 0.6379 0.6379  1 Ge 3.74, 6 K 3.79-4.00
Rb2 0.7279 0.3621 0.3621  1 Ge 3.74, 6 K 3.79-4.00
Ga1 0.5000 0.0000 0.0000  2 Ge 2.43
Ge1 0.2758 0.1651 0.1651  1 Ga 2.43
Ge2 0.7242 0.8349 0.8349  1 Ga 2.43